This record from Alexandria via LeMat-Bulk describes an optimized crystal structure of SrRe3As. The functional is PBE.

a = 4.702 Å, b = 4.702 Å, c = 4.702 Å
α = 90.00°, β = 90.00°, γ = 90.00°
Positions (direct):
Sr (0.500, 0.500, 0.500)
As (0.000, 0.000, 0.000)
Re (0.000, 0.000, 0.500)
Re (0.000, 0.500, 0.000)
Re (0.500, 0.000, 0.000)

offset from the most stable computed form	0.000	eV per atom
energy of formation	1337	meV per atom

This record from Alexandria via LeMat-Bulk describes an optimized crystal structure of PrZnPd. The functional is PBE.

a = 4.493 Å, b = 5.621 Å, c = 6.066 Å
α = 75.37°, β = 68.26°, γ = 66.44°
Positions (direct):
Zn (0.831, 0.240, 0.097)
Zn (0.169, 0.760, 0.903)
Pd (0.833, 0.625, 0.709)
Pd (0.167, 0.375, 0.291)
Pr (0.550, 0.202, 0.698)
Pr (0.450, 0.798, 0.302)

energy of formation	-641	meV per atom

This record from Alexandria via LeMat-Bulk describes an optimized crystal structure of Th3Bi2Pb. The functional is PBE.

a = 6.494 Å, b = 6.492 Å, c = 10.279 Å
α = 108.41°, β = 90.00°, γ = 90.00°
Positions (direct):
Th (0.500, 0.333, 0.665)
Th (0.500, 0.667, 0.335)
Th (0.000, 0.831, 0.662)
Th (0.500, 0.000, 0.000)
Th (0.000, 0.169, 0.338)
Th (0.000, 0.500, 0.000)
Bi (0.500, 0.500, 0.000)
Bi (0.000, 0.000, 0.000)
Bi (0.500, 0.166, 0.332)
Bi (0.500, 0.834, 0.668)
Pb (0.000, 0.335, 0.669)
Pb (0.000, 0.665, 0.331)

offset from the most stable computed form	0.000	eV per atom
energy of formation	-476	meV per atom

This record from Alexandria via LeMat-Bulk describes an optimized crystal structure of In2FeSb. The functional is PBE.

a = 5.117 Å, b = 5.117 Å, c = 3.694 Å
α = 90.00°, β = 90.00°, γ = 110.61°
Positions (direct):
Sb (0.500, 0.000, 0.500)
In (0.000, 0.000, 0.000)
In (0.500, 0.500, 0.000)
Fe (0.000, 0.500, 0.500)

formation energy from raw total energies	0.440	eV/atom

| no. | volume (Å³/cell) |
| --- | --- |
| 1 | 103.95 |
| 2 | 129.44 |
| 3 | 411.18 |
| 4 | 90.52 |